[1]
A geometry-optimized Cs3TlFe2I8 structure. Source: Alexandria via LeMat-Bulk, functional PBE.

Properties
- crystal system = trigonal
- uncorrected energy (eV per atom) = -3.2417

Cell: 8.717 8.717 10.857 Å, 90.00 90.00 120.00°
Element x y z (fractional)
Cs 0.000 0.000 0.000
Cs 0.333 0.667 0.622
Cs 0.667 0.333 0.378
Tl 0.000 0.000 0.500
Fe 0.333 0.667 0.206
Fe 0.667 0.333 0.794
I 0.172 0.344 0.299
I 0.172 0.828 0.299
I 0.333 0.667 0.970
I 0.344 0.172 0.701
I 0.656 0.828 0.299
I 0.667 0.333 0.030
I 0.828 0.172 0.701
I 0.828 0.656 0.701

[2]
A geometry-optimized Cs3TlFe4I12 structure. Source: Alexandria via LeMat-Bulk, functional PBE.

Properties
- crystal system = trigonal
- uncorrected energy (eV per atom) = -3.3821

Cell: 10.949 10.949 10.949 Å, 99.75 99.75 99.75°
Element x y z (fractional)
Cs 0.000 0.514 0.486
Cs 0.486 0.000 0.514
Cs 0.514 0.486 0.000
Tl 0.000 0.000 0.000
Fe 0.036 0.500 0.964
Fe 0.500 0.500 0.500
Fe 0.500 0.964 0.036
Fe 0.964 0.036 0.500
I 0.054 0.680 0.843
I 0.115 0.885 0.500
I 0.157 0.320 0.946
I 0.320 0.946 0.157
I 0.349 0.651 0.500
I 0.500 0.115 0.885
I 0.500 0.349 0.651
I 0.651 0.500 0.349
I 0.680 0.843 0.054
I 0.843 0.054 0.680
I 0.885 0.500 0.115
I 0.946 0.157 0.320

[3]
A geometry-optimized CsTmFe2I8 structure. Source: Alexandria via LeMat-Bulk, functional PBE.

Properties
- crystal system = monoclinic
- uncorrected energy (eV per atom) = -3.6124

Cell: 7.401 7.401 11.115 Å, 96.27 96.27 68.60°
Element x y z (fractional)
Cs 0.000 0.000 0.000
Tm 0.000 0.000 0.500
Fe 0.384 0.384 0.706
Fe 0.616 0.616 0.294
I 0.230 0.727 0.302
I 0.245 0.245 0.503
I 0.273 0.770 0.698
I 0.314 0.314 0.912
I 0.686 0.686 0.088
I 0.727 0.230 0.302
I 0.755 0.755 0.497
I 0.770 0.273 0.698

[4]
A geometry-optimized Cs2YFeI6 structure. Source: Alexandria via LeMat-Bulk, functional PBE.

Properties
- crystal system = cubic
- uncorrected energy (eV per atom) = -3.6265

Cell: 8.377 8.377 8.377 Å, 60.00 60.00 60.00°
Element x y z (fractional)
Cs 0.250 0.250 0.250
Cs 0.750 0.750 0.750
Y 0.000 0.000 0.000
Fe 0.500 0.500 0.500
I 0.257 0.257 0.743
I 0.257 0.743 0.257
I 0.257 0.743 0.743
I 0.743 0.257 0.257
I 0.743 0.257 0.743
I 0.743 0.743 0.257

[5]
A geometry-optimized CsYFe2I8 structure. Source: Alexandria via LeMat-Bulk, functional PBE.

Properties
- crystal system = monoclinic
- uncorrected energy (eV per atom) = -3.7904

Cell: 7.437 7.437 11.145 Å, 96.06 96.06 68.65°
Element x y z (fractional)
Cs 0.000 0.000 0.000
Y 0.000 0.000 0.500
Fe 0.383 0.383 0.708
Fe 0.617 0.617 0.292
I 0.232 0.727 0.300
I 0.247 0.247 0.505
I 0.273 0.768 0.700
I 0.312 0.312 0.913
I 0.688 0.688 0.087
I 0.727 0.232 0.300
I 0.753 0.753 0.495
I 0.768 0.273 0.700

[6]
A geometry-optimized Cs2ZnFeI6 structure. Source: Alexandria via LeMat-Bulk, functional PBE.

Properties
- crystal system = tetragonal
- uncorrected energy (eV per atom) = -2.8154

Cell: 8.445 8.445 8.445 Å, 119.72 119.72 90.48°
Element x y z (fractional)
Cs 0.250 0.750 0.500
Cs 0.750 0.250 0.500
Zn 0.000 0.000 0.000
Fe 0.500 0.500 0.000
I 0.215 0.215 0.000
I 0.273 0.273 0.546
I 0.273 0.727 0.000
I 0.727 0.273 0.000
I 0.727 0.727 0.454
I 0.785 0.785 0.000

[7]
A geometry-optimized CsZnFe2I8 structure. Source: Alexandria via LeMat-Bulk, functional PBE.

Properties
- crystal system = monoclinic
- uncorrected energy (eV per atom) = -3.0669

Cell: 7.223 7.223 11.045 Å, 97.26 97.26 68.97°
Element x y z (fractional)
Cs 0.000 0.000 0.000
Zn 0.000 0.000 0.500
Fe 0.387 0.387 0.705
Fe 0.613 0.613 0.295
I 0.228 0.730 0.305
I 0.238 0.238 0.508
I 0.270 0.772 0.695
I 0.318 0.318 0.912
I 0.682 0.682 0.088
I 0.730 0.228 0.305
I 0.762 0.762 0.492
I 0.772 0.270 0.695